Arrangement 1

Entry from Alexandria: Br2ClF after structural relaxation (PBE-GGA).

abc: 8.8221 8.8221 8.8221
angles: 23.03 23.03 23.03
Closest atoms and distances in Å follow each position.
Fractional coordinates of all 4 atoms:
Br 0.9072 0.9072 0.9072  1 Cl 2.39
Cl 0.0000 0.0000 0.0000  2 Br 2.39
Br 0.0928 0.0928 0.0928  1 Cl 2.39
F 0.5000 0.5000 0.5000  6 Br 2.79

Computed properties:
- SG: R-3m (166)



Arrangement 2

Entry from Alexandria: Br2ClF after structural relaxation (PBE-GGA).

abc: 4.8357 4.8357 4.8357
angles: 60.00 60.00 60.00
Closest atoms and distances in Å follow each position.
Fractional coordinates of all 4 atoms:
Cl 0.5000 0.5000 0.5000  8 Br 2.96
Br 0.7500 0.7500 0.7500  4 Cl 2.96, 4 F 2.96
F 0.0000 0.0000 0.0000  8 Br 2.96
Br 0.2500 0.2500 0.2500  4 F 2.96, 4 Cl 2.96

Computed properties:
- SG: Fm-3m (225)



Which is less stable than every other structure shown? arrangement 2 is.